This record from OQMD via LeMat-Bulk describes crystalline Ga3Ni2Sn3 at its relaxed geometry. The functional is PBE.

Its space group is Amm2 (38). The value obtained for the total magnetic moment is 0.00 μB per atom. The value obtained for the electronic total energy is -4.0885 eV per atom.

abc: 3.364 8.550 10.570
angles: 90.00 90.00 90.00
Atoms (fractional coordinates):
Ga 0.000 0.000 0.000
Ga 0.000 0.500 0.500
Ga 0.500 0.227 0.443
Ga 0.500 0.273 0.943
Ga 0.500 0.727 0.943
Ga 0.500 0.773 0.443
Ni 0.000 0.000 0.443
Ni 0.000 0.500 0.943
Ni 0.500 0.000 0.837
Ni 0.500 0.500 0.337
Sn 0.000 0.175 0.684
Sn 0.000 0.325 0.184
Sn 0.000 0.675 0.184
Sn 0.000 0.825 0.684
Sn 0.500 0.000 0.235
Sn 0.500 0.500 0.735

=====

This record from OQMD via LeMat-Bulk describes crystalline Dy3In3Cu2Ni at its relaxed geometry. The functional is PBE.

Its space group is P-62m (189). The value obtained for the total magnetic moment is 0.00 μB per atom. The value obtained for the electronic total energy is -4.3362 eV per atom.

abc: 7.416 7.416 3.895
angles: 90.00 90.00 120.00
Atoms (fractional coordinates):
Dy 0.000 0.590 0.000
Dy 0.410 0.410 0.000
Dy 0.590 0.000 0.000
In 0.000 0.251 0.500
In 0.251 0.000 0.500
In 0.749 0.749 0.500
Cu 0.333 0.667 0.500
Cu 0.667 0.333 0.500
Ni 0.000 0.000 0.000

=====

This record from OQMD via LeMat-Bulk describes crystalline HfInCuOs at its relaxed geometry. The functional is PBE.

Its space group is F-43m (216). The value obtained for the total magnetic moment is 0.00 μB per atom. The value obtained for the electronic total energy is -6.7433 eV per atom.

abc: 6.485 6.485 6.485
angles: 90.00 90.00 90.00
Atoms (fractional coordinates):
Hf 0.000 0.000 0.000
Hf 0.000 0.500 0.500
Hf 0.500 0.000 0.500
Hf 0.500 0.500 0.000
In 0.250 0.250 0.250
In 0.250 0.750 0.750
In 0.750 0.250 0.750
In 0.750 0.750 0.250
Cu 0.000 0.000 0.500
Cu 0.000 0.500 0.000
Cu 0.500 0.000 0.000
Cu 0.500 0.500 0.500
Os 0.250 0.250 0.750
Os 0.250 0.750 0.250
Os 0.750 0.250 0.250
Os 0.750 0.750 0.750

=====

This record from OQMD via LeMat-Bulk describes crystalline MgInNiAg at its relaxed geometry. The functional is PBE.

Its space group is F-43m (216). The value obtained for the total magnetic moment is 0.00 μB per atom. The value obtained for the electronic total energy is -3.2281 eV per atom.

abc: 6.473 6.473 6.473
angles: 90.00 90.00 90.00
Atoms (fractional coordinates):
Mg 0.000 0.000 0.000
Mg 0.000 0.500 0.500
Mg 0.500 0.000 0.500
Mg 0.500 0.500 0.000
In 0.250 0.250 0.250
In 0.250 0.750 0.750
In 0.750 0.250 0.750
In 0.750 0.750 0.250
Ni 0.000 0.000 0.500
Ni 0.000 0.500 0.000
Ni 0.500 0.000 0.000
Ni 0.500 0.500 0.500
Ag 0.250 0.250 0.750
Ag 0.250 0.750 0.250
Ag 0.750 0.250 0.250
Ag 0.750 0.750 0.750

=====

This record from OQMD via LeMat-Bulk describes crystalline KGeAu3S4 at its relaxed geometry. The functional is PBE.

Its space group is P2_1/m (11). The value obtained for the electronic total energy is -3.8302 eV per atom.

abc: 6.111 7.363 10.530
angles: 90.00 100.26 90.00
Atoms (fractional coordinates):
K 0.167 0.250 0.353
K 0.833 0.750 0.647
Ge 0.095 0.250 0.776
Ge 0.905 0.750 0.224
Au 0.363 0.553 0.092
Au 0.363 0.947 0.092
Au 0.474 0.750 0.344
Au 0.526 0.250 0.656
Au 0.637 0.053 0.908
Au 0.637 0.447 0.908
S 0.044 0.750 0.033
S 0.133 0.750 0.416
S 0.298 0.506 0.764
S 0.298 0.994 0.764
S 0.702 0.006 0.236
S 0.702 0.494 0.236
S 0.867 0.250 0.584
S 0.956 0.250 0.967

=====

This record from OQMD via LeMat-Bulk describes crystalline RbErAs at its relaxed geometry. The functional is PBE.

Its space group is F-43m (216). The value obtained for the total magnetic moment is 0.01 μB per atom. The value obtained for the electronic total energy is -3.5493 eV per atom.

abc: 7.290 7.290 7.290
angles: 90.00 90.00 90.00
Atoms (fractional coordinates):
Rb 0.000 0.000 0.000
Rb 0.000 0.500 0.500
Rb 0.500 0.000 0.500
Rb 0.500 0.500 0.000
Er 0.000 0.000 0.500
Er 0.000 0.500 0.000
Er 0.500 0.000 0.000
Er 0.500 0.500 0.500
As 0.250 0.250 0.750
As 0.250 0.750 0.250
As 0.750 0.250 0.250
As 0.750 0.750 0.750

=====

This record from OQMD via LeMat-Bulk describes crystalline K3RbAu at its relaxed geometry. The functional is PBE.

Its space group is P-1 (2). The value obtained for the electronic total energy is -1.6414 eV per atom.

abc: 8.081 8.399 9.250
angles: 77.20 72.34 77.95
Atoms (fractional coordinates):
K 0.216 0.432 0.078
K 0.241 0.380 0.591
K 0.280 0.865 0.732
K 0.720 0.135 0.268
K 0.759 0.620 0.409
K 0.784 0.568 0.922
Rb 0.265 0.894 0.220
Rb 0.735 0.106 0.780
Au 0.052 0.165 0.945
Au 0.948 0.835 0.055

=====

This record from OQMD via LeMat-Bulk describes crystalline ZnInPd at its relaxed geometry. The functional is PBE.

Its space group is F-43m (216). The value obtained for the electronic total energy is -3.3674 eV per atom.

abc: 6.231 6.231 6.231
angles: 90.00 90.00 90.00
Atoms (fractional coordinates):
Zn 0.000 0.000 0.000
Zn 0.000 0.500 0.500
Zn 0.500 0.000 0.500
Zn 0.500 0.500 0.000
In 0.000 0.000 0.500
In 0.000 0.500 0.000
In 0.500 0.000 0.000
In 0.500 0.500 0.500
Pd 0.250 0.250 0.750
Pd 0.250 0.750 0.250
Pd 0.750 0.250 0.250
Pd 0.750 0.750 0.750

=====

electronic total energy of number 5 (KGeAu3S4)?
-3.8302 eV per atom